# 1
Entry from Alexandria via LeMat-Bulk: an optimized crystal structure of B2MoS6 (PBE-GGA).

The structure in POSCAR format:
```
B2MoS6
1.0
-3.4446 -3.9866 -2.7916
6.0950 -6.7325 0.3138
-4.3119 -2.7743 7.5023
B Mo S
4 2 12
Cartesian
0.8234 -7.6207 5.7110 B
-1.0376 -3.7748 0.8991 B
-2.4850 -5.8726 -0.6866 B
-0.6240 -9.7186 4.1253 B
-4.0570 -4.1954 6.0335 Mo
2.3955 -9.2980 -1.0091 Mo
0.0266 -8.0090 4.1134 S
0.3196 -3.5996 2.1096 S
-1.6882 -5.4843 0.9110 S
-1.9812 -9.8938 2.9148 S
1.1776 -10.5494 0.2156 S
1.6552 -7.3017 -0.8812 S
-2.8391 -2.9439 4.8088 S
-3.3168 -6.1916 5.9056 S
0.5523 -8.7295 7.1241 S
-1.7844 -2.2788 0.1892 S
-2.2139 -4.7639 -2.0996 S
0.1229 -11.2145 4.8352 S
```

Summary:
The calculation puts the raw total energy at -51.87 eV per formula unit. The value obtained for the uncorrected formation energy is -0.3245 eV per atom. As for the space group: No. 15.

# 2
Entry from Alexandria via LeMat-Bulk: an optimized crystal structure of ZrCdAg2 (PBE-GGA).

The structure in POSCAR format:
```
ZrCdAg2
1.0
3.0838 0.0692 0.0233
1.6018 2.6360 0.0233
1.6204 0.9356 9.9817
Zr Cd Ag
1 1 2
Cartesian
3.0866 1.7821 5.0170 Zr
4.7654 2.7513 10.0089 Cd
1.5980 0.9226 7.5044 Ag
1.6293 0.9407 2.4940 Ag
```

Summary:
The calculated formation energy comes out at 7 meV/atom. The calculation puts the raw total energy at -15.14 eV per formula unit. As for the space group: No. 8.

# 3
Entry from Alexandria via LeMat-Bulk: an optimized crystal structure of Y2Cd3Pd8 (PBE-GGA).

The structure in POSCAR format:
```
Y2Cd3Pd8
1.0
-4.2605 2.3557 -2.2161
-4.5982 0.3110 2.7152
-0.0045 9.9428 4.1222
Y Cd Pd
2 3 8
Cartesian
-5.6004 2.7157 0.7425 Y
-3.2629 9.8938 3.8788 Y
0.0000 0.0000 0.0000 Cd
-7.1996 7.7614 2.7250 Cd
-1.6636 4.8482 1.8962 Cd
-6.4063 10.1977 3.7895 Pd
-2.4570 2.4119 0.8318 Pd
-4.2868 3.9867 2.8214 Pd
-4.1167 5.0171 0.3363 Pd
-6.4338 5.1738 1.7046 Pd
-4.7466 7.5925 4.2850 Pd
-4.5764 8.6228 1.7999 Pd
-2.4294 7.4357 2.9167 Pd
```

Summary:
The calculated formation energy comes out at -328 meV/atom. The calculation puts the raw total energy at -61.47 eV per formula unit. As for the space group: No. 166.

# 4
Entry from Alexandria via LeMat-Bulk: an optimized crystal structure of EuGaO2 (PBE-GGA).

The structure in POSCAR format:
```
EuGaO2
1.0
4.6653 0.0000 0.0000
2.3327 4.0403 0.0000
2.3327 1.3468 3.0294
Eu O Ga
1 2 1
Cartesian
0.0000 0.0000 0.0000 Eu
2.3327 1.3468 0.6599 O
6.9980 4.0403 2.3695 O
4.6653 2.6935 1.5147 Ga
```

Summary:
The calculation puts the raw total energy at -29.43 eV per formula unit. The value obtained for the uncorrected formation energy is -1.5532 eV per atom. As for the space group: No. 166.

# 5
Entry from Alexandria via LeMat-Bulk: an optimized crystal structure of LaNd3N3 (PBE-GGA).

The structure in POSCAR format:
```
LaNd3N3
1.0
-2.3739 2.8349 3.6596
3.0972 -2.0839 3.6234
3.4404 3.8321 -0.7369
La Nd N
1 3 3
Cartesian
2.0819 2.2916 3.2730 La
1.5486 -1.0419 1.8117 Nd
1.7202 1.9161 -0.3684 Nd
-1.1869 1.4175 1.8298 Nd
0.5333 3.3335 1.4613 N
0.3617 0.3755 3.6415 N
3.2688 0.8741 1.4433 N
```

Summary:
The calculation puts the relative energy among the computed polymorphs at 0.0 meV/atom. The calculation puts the raw total energy at -51.92 eV per formula unit. The value obtained for the uncorrected formation energy is -1.1015 eV per atom. As for the space group: No. 221.

# 6
Entry from Alexandria via LeMat-Bulk: an optimized crystal structure of Cs2SrBe2Se4 (PBE-GGA).

The structure in POSCAR format:
```
Cs2SrBe2Se4
1.0
-2.6159 2.6058 1.8463
-2.3204 -6.2116 5.4792
7.5682 2.9513 1.9423
Cs Sr Be Se
2 1 2 4
Cartesian
0.3839 -2.2605 3.7344 Cs
2.2480 1.6061 5.5333 Cs
0.0000 0.0000 0.0000 Sr
-1.3438 -3.1825 7.2029 Be
3.9757 2.5280 2.0649 Be
2.3105 0.9709 1.9033 Se
0.3214 -1.6254 7.3644 Se
-2.6109 -3.1779 5.4012 Se
5.2427 2.5235 3.8666 Se
```

Summary:
The calculation puts the raw total energy at -35.37 eV per formula unit. The value obtained for the uncorrected formation energy is -1.1765 eV per atom. As for the space group: No. 12.

# 7
Entry from Alexandria via LeMat-Bulk: an optimized crystal structure of TlFe2TeIr (PBE-GGA).

The structure in POSCAR format:
```
TlFe2TeIr
1.0
-3.4844 3.1296 -0.3270
-3.6876 -4.0526 0.5085
0.0484 0.5411 4.6634
Tl Ir Te Fe
1 1 1 2
Cartesian
0.0000 0.0000 0.0000 Tl
-3.5618 -0.1909 2.4225 Ir
-1.8438 -2.0263 0.2542 Te
0.0242 0.2705 2.3317 Fe
-1.7422 1.5648 -0.1635 Fe
```

Summary:
The calculation puts the raw total energy at -18.75 eV per formula unit. The value obtained for the uncorrected formation energy is 2.5085 eV per atom. As for the space group: No. 123.

# 8
Entry from Alexandria via LeMat-Bulk: an optimized crystal structure of K3Ga4Au4 (PBE-GGA).

The structure in POSCAR format:
```
K3Ga4Au4
1.0
6.7269 0.0000 -2.3783
-3.3634 5.8256 -2.3783
0.0000 0.0000 7.1349
K Ga Au
3 4 4
Cartesian
1.6817 2.9128 -2.3783 K
3.3634 0.0000 2.3783 K
-1.6817 2.9128 2.3783 K
-0.8937 1.5478 -0.6319 Ga
0.0000 0.0000 1.8957 Ga
1.7873 0.0000 -0.6319 Ga
2.4698 4.2778 1.7464 Ga
-2.1115 3.6572 -1.4930 Au
4.2230 0.0000 -1.4930 Au
0.0000 0.0000 4.4791 Au
1.2520 2.1685 0.8853 Au
```

Summary:
The calculated formation energy comes out at -338 meV/atom. The calculation puts the raw total energy at -32.23 eV per formula unit. As for the space group: No. 217.

# 9
Entry from Alexandria via LeMat-Bulk: an optimized crystal structure of Ba2MoOs (PBE-GGA).

The structure in POSCAR format:
```
Ba2MoOs
1.0
-0.1626 -3.2156 -2.7955
3.3463 -2.6036 -0.4527
-2.4780 -7.4112 5.6473
Ba Mo Os
2 1 1
Cartesian
2.7770 -6.3851 -2.4912 Ba
0.9505 -9.3374 1.0156 Ba
0.8490 -5.8420 0.2545 Mo
-0.3343 -4.1002 1.5717 Os
```

Summary:
The calculation puts the relative energy among the computed polymorphs at 0.0 meV/atom. The calculated formation energy comes out at 349 meV/atom. The calculation puts the raw total energy at -24.51 eV per formula unit. As for the space group: No. 8.

# 10
Entry from Alexandria via LeMat-Bulk: an optimized crystal structure of KZrPd3 (PBE-GGA).

The structure in POSCAR format:
```
KZrPd3
1.0
4.8673 0.0000 0.0000
0.0000 4.8673 0.0000
0.0000 0.0000 4.8673
K Zr Pd
1 1 3
Cartesian
0.0000 0.0000 0.0000 K
2.4336 2.4336 2.4336 Zr
0.0000 2.4336 0.0000 Pd
0.0000 0.0000 2.4336 Pd
2.4336 0.0000 0.0000 Pd
```

Summary:
The calculation puts the relative energy among the computed polymorphs at 986.4 meV/atom. The calculated formation energy comes out at 1278 meV/atom. The calculation puts the raw total energy at -18.83 eV per formula unit. As for the space group: No. 221.

# 11
Entry from Alexandria via LeMat-Bulk: an optimized crystal structure of KRbThBr6 (PBE-GGA).

The structure in POSCAR format:
```
KRbThBr6
1.0
8.2184 0.0000 0.0000
-4.1092 7.1173 0.0000
0.0000 0.0000 13.9963
K Rb Th Br
2 2 2 12
Cartesian
0.0000 4.7449 3.4991 K
4.1092 2.3724 10.4972 K
0.0000 0.0000 0.0000 Rb
0.0000 0.0000 6.9981 Rb
4.1092 2.3724 3.4991 Th
0.0000 4.7449 10.4972 Th
2.8887 4.3731 1.8627 Br
6.4521 2.4291 1.8627 Br
-1.1223 6.8022 8.8608 Br
-2.3429 4.6882 12.1336 Br
1.7663 2.4291 5.1355 Br
5.3297 4.3731 5.1355 Br
1.1223 6.8022 12.1336 Br
5.2315 0.3151 5.1355 Br
-1.2205 2.7443 8.8608 Br
2.9869 0.3151 1.8627 Br
2.3429 4.6882 8.8608 Br
1.2205 2.7443 12.1336 Br
```

Summary:
The calculation puts the raw total energy at -35.61 eV per formula unit. The value obtained for the uncorrected formation energy is -1.7872 eV per atom. As for the space group: No. 163.

# 12
Entry from Alexandria via LeMat-Bulk: an optimized crystal structure of LaMg2P (PBE-GGA).

The structure in POSCAR format:
```
LaMg2P
1.0
4.1841 0.0000 0.0000
0.0000 5.2910 0.0076
0.0000 2.1486 4.8337
La Mg P
1 2 1
Cartesian
2.0921 5.5797 3.6310 La
0.0000 0.5565 0.3610 Mg
0.0000 3.1633 2.0597 Mg
2.0921 1.8599 1.2103 P
```

Summary:
The calculated formation energy comes out at -502 meV/atom. The calculation puts the raw total energy at -15.53 eV per formula unit. As for the space group: No. 65.